Arrangement a

VASP calculation (PBE) on CaCoTc2 after structural relaxation.

Results
For the density of states at the Fermi level, the calculation gives 4.49 states/eV/f.u. The crystal system is tetragonal.

abc: 3.0987 3.0959 7.7564
angles: 66.51 90.00 90.00
With the nearest neighbours (Å) after each atom.
Sites, in units of the cell vectors:
Ca  0.0000  0.4907  0.5093  4 Co 3.03, 4 Ca 3.10, 4 Tc 3.15
Co  0.5000  0.6970  0.8030  5 Tc 2.59-2.75
Tc  0.5000  0.3099  0.1902  4 Tc 2.58, 1 Co 2.75
Tc  0.0000  0.0023  0.9976  4 Tc 2.58, 4 Co 2.59

***

Arrangement b

VASP calculation (PBE) on CaCoTc2 after structural relaxation.

Results
For the density of states at the Fermi level, the calculation gives 2.77 states/eV/f.u. The crystal system is cubic.

abc: 4.4548 4.4548 4.4548
angles: 60.00 60.00 60.00
With the nearest neighbours (Å) after each atom.
Sites, in units of the cell vectors:
Ca  0.5000  0.5000  0.5000  4 Tc 2.73, 4 Co 2.73
Tc  0.7500  0.7500  0.7500  4 Tc 2.73, 4 Ca 2.73
Tc  0.0000  0.0000  0.0000  4 Tc 2.73, 4 Co 2.73
Co  0.2500  0.2500  0.2500  4 Tc 2.73, 4 Ca 2.73

***

Last place for stability: arrangement b

***

Arrangement a

VASP calculation (PBE) on CaCoTc2 after structural relaxation.

Results
For the density of states at the Fermi level, the calculation gives 3.97 states/eV/f.u. The crystal system is tetragonal.

abc: 5.2941 5.2941 5.2941
angles: 138.73 138.73 59.79
With the nearest neighbours (Å) after each atom.
Sites, in units of the cell vectors:
Co  0.7500  0.2500  0.5000  4 Ca 2.64
Tc  0.0000  0.0000  0.0000  4 Tc 2.64
Tc  0.5000  0.5000  0.0000  4 Tc 2.64
Ca  0.2500  0.7500  0.5000  4 Co 2.64

***

Arrangement b

VASP calculation (PBE) on CaCoTc2 after structural relaxation.

Results
For the density of states at the Fermi level, the calculation gives 4.94 states/eV/f.u. The crystal system is monoclinic.

abc: 5.4136 5.4136 2.6474
angles: 81.37 81.37 121.22
With the nearest neighbours (Å) after each atom.
Sites, in units of the cell vectors:
Tc  0.5000  0.5000  0.0000  4 Tc 2.65-2.66, 2 Co 2.83, 2 Ca 2.83
Tc  0.0000  0.0000  0.0000  4 Tc 2.65-2.66, 2 Ca 2.83, 2 Co 2.83
Co  0.0000  0.5000  0.5000  2 Co 2.65, 2 Ca 2.66, 4 Tc 2.83
Ca  0.5000  0.0000  0.5000  2 Ca 2.65, 2 Co 2.66, 4 Tc 2.83

***

Arrangement c

VASP calculation (PBE) on CaCoTc2 after structural relaxation.

Results
For the density of states at the Fermi level, the calculation gives 5.81 states/eV/f.u. The crystal system is tetragonal.

abc: 4.4204 4.4204 3.2209
angles: 90.00 90.00 90.00
With the nearest neighbours (Å) after each atom.
Sites, in units of the cell vectors:
Tc  0.5000  0.5000  0.0000  4 Ca 2.73, 4 Co 2.73
Tc  0.0000  0.0000  0.0000  4 Co 2.73, 4 Ca 2.73
Ca  0.5000  0.0000  0.5000  8 Tc 2.73
Co  0.0000  0.5000  0.5000  8 Tc 2.73

***

Last place for stability: arrangement c